{"formula": "MnRh2O", "functional": "GGA+U", "state": "relaxed", "dos_at_fermi_per_ev_cell": 2.9, "total_energy_ev_per_cell": -53.6, "cell": [[6.680, 0.000, 0.000], [0.000, 6.680, 0.000], [3.340, 3.340, 2.589]], "species": ["Mn", "Rh", "Rh", "Rh", "O", "Mn", "O", "Rh"], "frac_coords": [[0.000, 0.000, 0.000], [0.518, 0.125, 0.250], [0.375, 0.482, 0.750], [0.232, 0.625, 0.250], [0.250, 0.750, 0.500], [0.750, 0.250, 0.500], [0.500, 0.500, 0.000], [0.875, 0.768, 0.750]]}